An optimized crystal structure of CoOsPb2, computed with PBE-GGA.

The structure in POSCAR format:
```
CoOsPb2
1.0
1.6380 0.9457 8.1215
-1.6380 0.9457 8.1215
0.0000 -1.8914 8.1215
Co Os Pb
1 1 2
Direct
0.0000 0.0000 0.0000 Co
0.5000 0.5000 0.5000 Os
0.2538 0.2538 0.2538 Pb
0.7462 0.7462 0.7462 Pb
```

Properties
Energy above the lowest structure with this stoichiometry in meV per atom: 417.4
Space-group type: R-3m
Crystal system: trigonal


An optimized crystal structure of CoOsPb2, computed with PBE-GGA.

The structure in POSCAR format:
```
CoOsPb2
1.0
0.0000 3.4141 3.4141
3.4141 0.0000 3.4141
3.4141 3.4141 0.0000
Co Os Pb
1 1 2
Direct
0.0000 0.0000 0.0000 Co
0.7500 0.7500 0.7500 Os
0.2500 0.2500 0.2500 Pb
0.5000 0.5000 0.5000 Pb
```

Properties
Energy above the lowest structure with this stoichiometry in meV per atom: 618.5
Space-group type: F-43m
Crystal system: cubic


An optimized crystal structure of Co2OsPb, computed with PBE-GGA.

The structure in POSCAR format:
```
Co2OsPb
1.0
4.2627 -1.4565 0.0000
4.2627 1.4565 0.0000
-0.8869 0.0000 4.8308
Co Os Pb
2 1 1
Direct
0.0000 0.0000 0.0000 Co
0.7428 0.7428 0.2268 Co
0.2622 0.2622 0.8323 Os
0.4984 0.4984 0.4887 Pb
```

Properties
Space-group type: Cm
Crystal system: monoclinic


no.,D(E_F) (states/eV/cell),spin magnetization (μB per formula unit),formation enthalpy at 0 K (meV/atom)
1,4.0,0.00,901
2,5.0,2.35,1102
3,4.0,0.35,602